# MoN2F2

An optimized crystal structure of MoN2F2 (PBE+U, Alexandria).

The structure belongs to space group P4/mmm (No. 123); the cell edges are 4.202, 4.202 and 4.001 Å and the angles 90.00°, 90.00° and 90.00°. The asymmetric unit holds Mo at (0.000, 0.000, 0.000), N at (0.000, 0.000, 0.500), N at (0.500, 0.500, 0.500) and F at (0.000, 0.500, 0.000).

The calculation puts the total magnetization at 4.0 μB per formula unit. The uncorrected energy comes out at -5.43 eV/atom.